Entry 1:
# RbBiCl2O | Alexandria via LeMat-Bulk | PBE | relaxed
data_RbBiCl2O
_chemical_formula_sum 'Rb1 Bi1 Cl2 O1'
_space_group_name_H-M_alt 'P 1'
_space_group_IT_number 1
_cell_length_a 5.712
_cell_length_b 5.712
_cell_length_c 4.419
_cell_angle_alpha 90.00
_cell_angle_beta 90.00
_cell_angle_gamma 90.00
loop_
_space_group_symop_operation_xyz
'x,y,z'
loop_
_atom_site_label
_atom_site_fract_x
_atom_site_fract_y
_atom_site_fract_z
Rb1 0.000 0.000 0.000
Bi1 0.500 0.500 0.500
Cl1 0.000 0.500 0.500
Cl2 0.500 0.000 0.500
O1 0.500 0.500 0.000
# Formation energy from raw total energies: -1274 meV per atom
# Crystal system: tetragonal
# SG: P4/mmm, No. 123
# Total DFT energy (no corrections): -3.974 eV/atom

***

Entry 2:
# Rb2BiClO2 | Alexandria via LeMat-Bulk | PBE | relaxed
data_Rb2BiClO2
_chemical_formula_sum 'Rb2 Bi1 Cl1 O2'
_space_group_name_H-M_alt 'P 1'
_space_group_IT_number 1
_cell_length_a 4.570
_cell_length_b 4.570
_cell_length_c 7.284
_cell_angle_alpha 90.00
_cell_angle_beta 90.00
_cell_angle_gamma 90.00
loop_
_space_group_symop_operation_xyz
'x,y,z'
loop_
_atom_site_label
_atom_site_fract_x
_atom_site_fract_y
_atom_site_fract_z
Rb1 0.000 0.000 0.241
Rb2 0.000 0.000 0.759
Bi1 0.500 0.500 0.500
Cl1 0.500 0.500 0.000
O1 0.000 0.500 0.500
O2 0.500 0.000 0.500
# Formation energy from raw total energies: -1335 meV per atom
# Crystal system: tetragonal
# SG: P4/mmm, No. 123
# Total DFT energy (no corrections): -4.265 eV/atom

***

Entry 3:
# ReBiClO4 | Alexandria via LeMat-Bulk | PBE | relaxed
data_ReBiClO4
_chemical_formula_sum 'Re2 Bi2 Cl2 O8'
_space_group_name_H-M_alt 'P 1'
_space_group_IT_number 1
_cell_length_a 6.501
_cell_length_b 6.501
_cell_length_c 7.173
_cell_angle_alpha 103.02
_cell_angle_beta 103.02
_cell_angle_gamma 67.75
loop_
_space_group_symop_operation_xyz
'x,y,z'
loop_
_atom_site_label
_atom_site_fract_x
_atom_site_fract_y
_atom_site_fract_z
Re1 0.135 0.135 0.282
Re2 0.865 0.865 0.718
Bi1 0.288 0.288 0.909
Bi2 0.712 0.712 0.091
Cl1 0.483 0.483 0.229
Cl2 0.517 0.517 0.771
O1 0.017 0.369 0.138
O2 0.033 0.033 0.764
O3 0.222 0.222 0.526
O4 0.369 0.017 0.138
O5 0.631 0.983 0.862
O6 0.778 0.778 0.474
O7 0.967 0.967 0.236
O8 0.983 0.631 0.862
# Formation energy from raw total energies: -1314 meV per atom
# Crystal system: monoclinic
# SG: C2/m, No. 12
# Total DFT energy (no corrections): -6.744 eV/atom

***

Entry 4:
# BiRuClO4 | Alexandria via LeMat-Bulk | PBE | relaxed
data_BiRuClO4
_chemical_formula_sum 'Bi2 Ru2 Cl2 O8'
_space_group_name_H-M_alt 'P 1'
_space_group_IT_number 1
_cell_length_a 6.536
_cell_length_b 6.536
_cell_length_c 7.161
_cell_angle_alpha 101.12
_cell_angle_beta 101.12
_cell_angle_gamma 67.85
loop_
_space_group_symop_operation_xyz
'x,y,z'
loop_
_atom_site_label
_atom_site_fract_x
_atom_site_fract_y
_atom_site_fract_z
Bi1 0.212 0.212 0.080
Bi2 0.788 0.788 0.920
Ru1 0.367 0.367 0.720
Ru2 0.633 0.633 0.280
Cl1 0.027 0.027 0.774
Cl2 0.973 0.973 0.226
O1 0.139 0.478 0.875
O2 0.270 0.270 0.493
O3 0.470 0.470 0.235
O4 0.478 0.139 0.875
O5 0.522 0.861 0.125
O6 0.530 0.530 0.765
O7 0.730 0.730 0.507
O8 0.861 0.522 0.125
# Formation energy from raw total energies: -885 meV per atom
# Crystal system: monoclinic
# SG: C2/m, No. 12
# Total DFT energy (no corrections): -5.862 eV/atom

***

Entry 5:
# Bi2SCl2O | Alexandria via LeMat-Bulk | PBE | relaxed
data_Bi2SCl2O
_chemical_formula_sum 'Bi4 S2 Cl4 O2'
_space_group_name_H-M_alt 'P 1'
_space_group_IT_number 1
_cell_length_a 3.955
_cell_length_b 10.504
_cell_length_c 7.651
_cell_angle_alpha 90.00
_cell_angle_beta 90.00
_cell_angle_gamma 90.00
loop_
_space_group_symop_operation_xyz
'x,y,z'
loop_
_atom_site_label
_atom_site_fract_x
_atom_site_fract_y
_atom_site_fract_z
Bi1 0.000 0.082 0.000
Bi2 0.000 0.918 0.500
Bi3 0.500 0.250 0.372
Bi4 0.500 0.750 0.872
S1 0.500 0.072 0.623
S2 0.500 0.928 0.123
Cl1 0.000 0.381 0.559
Cl2 0.000 0.619 0.059
Cl3 0.500 0.285 0.994
Cl4 0.500 0.715 0.494
O1 0.000 0.140 0.279
O2 0.000 0.860 0.779
# Formation energy from raw total energies: -900 meV per atom
# Crystal system: orthorhombic
# SG: Pmc2_1, No. 26
# Total DFT energy (no corrections): -4.323 eV/atom

***

Entry 6:
# BiSCl2O | Alexandria via LeMat-Bulk | PBE | relaxed
data_BiSCl2O
_chemical_formula_sum 'Bi1 S1 Cl2 O1'
_space_group_name_H-M_alt 'P 1'
_space_group_IT_number 1
_cell_length_a 5.425
_cell_length_b 5.425
_cell_length_c 5.327
_cell_angle_alpha 90.00
_cell_angle_beta 90.00
_cell_angle_gamma 90.00
loop_
_space_group_symop_operation_xyz
'x,y,z'
loop_
_atom_site_label
_atom_site_fract_x
_atom_site_fract_y
_atom_site_fract_z
Bi1 0.000 0.000 0.000
S1 0.000 0.000 0.500
Cl1 0.000 0.500 0.000
Cl2 0.500 0.000 0.000
O1 0.500 0.500 0.500
# E above lowest polymorph: 26.0 meV/atom
# Formation energy from raw total energies: 367 meV per atom
# Crystal system: tetragonal
# SG: P4/mmm, No. 123
# Total DFT energy (no corrections): -2.965 eV/atom

***

Entry 7:
# BiSCl2O | Alexandria via LeMat-Bulk | PBE | relaxed
data_BiSCl2O
_chemical_formula_sum 'Bi1 S1 Cl2 O1'
_space_group_name_H-M_alt 'P 1'
_space_group_IT_number 1
_cell_length_a 4.561
_cell_length_b 4.561
_cell_length_c 4.490
_cell_angle_alpha 90.00
_cell_angle_beta 90.00
_cell_angle_gamma 90.00
loop_
_space_group_symop_operation_xyz
'x,y,z'
loop_
_atom_site_label
_atom_site_fract_x
_atom_site_fract_y
_atom_site_fract_z
Bi1 0.000 0.000 0.000
S1 0.500 0.500 0.000
Cl1 0.000 0.500 0.500
Cl2 0.500 0.000 0.500
O1 0.500 0.500 0.500
# E above lowest polymorph: 0.0 meV/atom
# Formation energy from raw total energies: 341 meV per atom
# Crystal system: tetragonal
# SG: P4/mmm, No. 123
# Total DFT energy (no corrections): -2.991 eV/atom

***

Entry 8:
# BiSClO4 | Alexandria via LeMat-Bulk | PBE | relaxed
data_BiSClO4
_chemical_formula_sum 'Bi2 S2 Cl2 O8'
_space_group_name_H-M_alt 'P 1'
_space_group_IT_number 1
_cell_length_a 6.198
_cell_length_b 6.198
_cell_length_c 6.595
_cell_angle_alpha 101.81
_cell_angle_beta 101.81
_cell_angle_gamma 70.13
loop_
_space_group_symop_operation_xyz
'x,y,z'
loop_
_atom_site_label
_atom_site_fract_x
_atom_site_fract_y
_atom_site_fract_z
Bi1 0.215 0.215 0.139
Bi2 0.785 0.785 0.861
S1 0.359 0.359 0.735
S2 0.641 0.641 0.265
Cl1 0.023 0.023 0.763
Cl2 0.977 0.977 0.237
O1 0.151 0.482 0.853
O2 0.274 0.274 0.518
O3 0.482 0.151 0.853
O4 0.497 0.497 0.253
O5 0.503 0.503 0.747
O6 0.518 0.849 0.147
O7 0.726 0.726 0.482
O8 0.849 0.518 0.147
# Formation energy from raw total energies: -1266 meV per atom
# Crystal system: monoclinic
# SG: C2/m, No. 12
# Total DFT energy (no corrections): -5.507 eV/atom

***

Entry 9:
# Bi3SbCl2O6 | Alexandria via LeMat-Bulk | PBE | relaxed
data_Bi3SbCl2O6
_chemical_formula_sum 'Bi3 Sb1 Cl2 O6'
_space_group_name_H-M_alt 'P 1'
_space_group_IT_number 1
_cell_length_a 6.892
_cell_length_b 6.892
_cell_length_c 5.627
_cell_angle_alpha 97.36
_cell_angle_beta 97.36
_cell_angle_gamma 57.27
loop_
_space_group_symop_operation_xyz
'x,y,z'
loop_
_atom_site_label
_atom_site_fract_x
_atom_site_fract_y
_atom_site_fract_z
Bi1 0.000 0.000 0.000
Bi2 0.000 0.500 0.500
Bi3 0.500 0.000 0.500
Sb1 0.500 0.500 0.500
Cl1 0.209 0.209 0.873
Cl2 0.791 0.791 0.127
O1 0.204 0.672 0.700
O2 0.328 0.796 0.300
O3 0.345 0.345 0.317
O4 0.655 0.655 0.683
O5 0.672 0.204 0.700
O6 0.796 0.328 0.300
# Formation energy from raw total energies: -981 meV per atom
# Crystal system: monoclinic
# SG: C2/m, No. 12
# Total DFT energy (no corrections): -5.082 eV/atom

***

Entry 10:
# BiSeClO4 | Alexandria via LeMat-Bulk | PBE | relaxed
data_BiSeClO4
_chemical_formula_sum 'Bi2 Se2 Cl2 O8'
_space_group_name_H-M_alt 'P 1'
_space_group_IT_number 1
_cell_length_a 6.323
_cell_length_b 6.323
_cell_length_c 6.840
_cell_angle_alpha 101.98
_cell_angle_beta 101.98
_cell_angle_gamma 70.90
loop_
_space_group_symop_operation_xyz
'x,y,z'
loop_
_atom_site_label
_atom_site_fract_x
_atom_site_fract_y
_atom_site_fract_z
Bi1 0.214 0.214 0.126
Bi2 0.786 0.786 0.874
Se1 0.360 0.360 0.729
Se2 0.640 0.640 0.271
Cl1 0.022 0.022 0.769
Cl2 0.978 0.978 0.231
O1 0.140 0.489 0.864
O2 0.262 0.262 0.496
O3 0.479 0.479 0.260
O4 0.489 0.140 0.864
O5 0.511 0.860 0.136
O6 0.521 0.521 0.740
O7 0.738 0.738 0.504
O8 0.860 0.511 0.136
# Formation energy from raw total energies: -837 meV per atom
# Crystal system: monoclinic
# SG: C2/m, No. 12
# Total DFT energy (no corrections): -4.986 eV/atom

***

Entry 11:
# SnBiClO2 | Alexandria via LeMat-Bulk | PBE | relaxed
data_SnBiClO2
_chemical_formula_sum 'Sn2 Bi2 Cl2 O4'
_space_group_name_H-M_alt 'P 1'
_space_group_IT_number 1
_cell_length_a 7.052
_cell_length_b 3.939
_cell_length_c 8.080
_cell_angle_alpha 90.00
_cell_angle_beta 107.12
_cell_angle_gamma 90.00
loop_
_space_group_symop_operation_xyz
'x,y,z'
loop_
_atom_site_label
_atom_site_fract_x
_atom_site_fract_y
_atom_site_fract_z
Sn1 0.175 0.250 0.423
Sn2 0.825 0.750 0.577
Bi1 0.178 0.250 0.923
Bi2 0.822 0.750 0.077
Cl1 0.434 0.750 0.179
Cl2 0.566 0.250 0.821
O1 0.001 0.250 0.126
O2 0.009 0.250 0.628
O3 0.991 0.750 0.372
O4 0.999 0.750 0.874
# Formation energy from raw total energies: -1238 meV per atom
# Crystal system: monoclinic
# SG: P2_1/m, No. 11
# Total DFT energy (no corrections): -5.167 eV/atom

***

Entry 12:
# SrBiClO2 | Alexandria via LeMat-Bulk | PBE | relaxed
data_SrBiClO2
_chemical_formula_sum 'Sr2 Bi2 Cl2 O4'
_space_group_name_H-M_alt 'P 1'
_space_group_IT_number 1
_cell_length_a 6.994
_cell_length_b 6.994
_cell_length_c 5.679
_cell_angle_alpha 90.00
_cell_angle_beta 90.00
_cell_angle_gamma 131.06
loop_
_space_group_symop_operation_xyz
'x,y,z'
loop_
_atom_site_label
_atom_site_fract_x
_atom_site_fract_y
_atom_site_fract_z
Sr1 0.108 0.892 0.750
Sr2 0.892 0.108 0.250
Bi1 0.419 0.581 0.750
Bi2 0.581 0.419 0.250
Cl1 0.243 0.757 0.250
Cl2 0.757 0.243 0.750
O1 0.265 0.265 0.000
O2 0.265 0.265 0.500
O3 0.735 0.735 0.000
O4 0.735 0.735 0.500
# Formation energy from raw total energies: -2018 meV per atom
# Crystal system: orthorhombic
# SG: Cmcm, No. 63
# Total DFT energy (no corrections): -5.483 eV/atom